Record 1
This record from Alexandria describes a geometry-optimized Ba6GaAu structure. The functional is PBE-GGA.

extended XYZ file:
```
8
Lattice="-2.441 6.772 -3.710 -6.085 4.349 3.105 2.216 7.813 3.968" Properties=species:S:1:pos:R:3 pbc="T T T"
Ba -1.065 8.164 3.951
Ba -0.684 11.318 0.384
Ba -2.324 6.994 -0.419
Ba -5.626 7.615 2.979
Ba -5.245 10.769 -0.589
Ba -3.985 11.939 3.782
Ga -3.155 9.467 1.681
Au 0.000 0.000 0.000
```

Properties
Crystal system: trigonal
Space group: R-3
Total magnetic moment: 0.00 μB/cell
E_form: -0.24 eV per atom

Record 2
This record from Alexandria describes a geometry-optimized Ba12Ga3Au5 structure. The functional is PBE-GGA.

extended XYZ file:
```
80
Lattice="-1.390 13.195 -10.709 -13.494 -0.310 10.419 14.256 1.633 9.211" Properties=species:S:1:pos:R:3 pbc="T T T"
Ga -4.321 9.984 -2.974
Ga -9.555 11.517 -0.405
Ga -1.732 5.736 9.555
Ga 3.312 3.872 2.079
Ga 0.661 11.915 -5.766
Ga -5.391 5.163 4.798
Ga 4.763 9.356 4.122
Ga -1.289 2.603 14.686
Ga -3.940 10.646 6.841
Ga 1.103 8.782 -0.635
Ga 8.926 3.001 9.326
Ga 3.692 4.534 11.894
Au -1.670 1.941 4.871
Au -6.747 -0.155 5.209
Au 0.000 0.000 0.000
Au -2.113 5.075 -0.260
Au 6.433 7.414 -0.749
Au -7.442 6.442 -0.145
Au -4.949 2.029 9.929
Au 9.744 11.287 1.330
Au -4.131 10.315 1.934
Au 8.484 6.134 4.194
Au -9.112 8.384 4.726
Au -0.314 7.259 4.460
Au -0.695 6.598 -5.355
Au 7.128 0.817 4.605
Au 3.502 4.203 6.986
Au -10.373 3.231 7.590
Au 0.381 0.661 9.815
Au 4.320 12.489 -1.009
Au 1.484 9.443 9.180
Au 1.041 12.577 4.049
Ba -2.092 9.552 -5.910
Ba -1.911 4.824 6.045
Ba -2.320 12.903 -3.786
Ba -1.871 7.377 -2.355
Ba -0.955 8.655 7.397
Ba -6.730 12.663 -2.523
Ba -5.115 4.743 8.394
Ba -10.527 1.033 9.802
Ba -4.063 8.502 9.870
Ba -6.492 9.614 0.015
Ba -1.928 10.740 -0.238
Ba -12.834 10.706 1.135
Ba -2.100 2.406 11.152
Ba -4.856 4.880 1.218
Ba -7.239 1.500 11.984
Ba 5.973 6.327 2.348
Ba 0.692 1.490 2.879
Ba -8.521 5.892 2.940
Ba -9.458 11.085 3.198
Ba -4.531 1.743 3.637
Ba -2.254 5.840 13.146
Ba -3.481 8.173 4.111
Ba -4.621 12.733 3.847
Ba 7.483 11.664 3.450
Ba 2.853 6.345 4.810
Ba 3.992 1.785 5.073
Ba -8.112 2.854 5.470
Ba 8.829 3.433 5.722
Ba 1.626 8.678 -4.226
Ba 3.903 12.775 5.283
Ba 7.892 8.626 5.980
Ba -6.602 8.191 6.572
Ba -1.320 13.028 6.041
Ba 6.610 13.018 -3.064
Ba 1.472 12.112 -2.232
Ba 12.205 3.812 7.785
Ba 4.227 9.638 7.702
Ba 3.434 6.016 -0.949
Ba 5.863 4.904 8.905
Ba 1.300 3.778 9.158
Ba 9.899 13.485 -0.882
Ba 4.487 9.775 0.526
Ba 1.242 7.141 11.275
Ba 6.101 1.855 11.443
Ba 0.326 5.863 1.523
Ba 1.692 1.615 12.706
Ba 1.282 9.694 2.875
Ba 1.463 4.966 14.831
```

Properties
Crystal system: cubic
Space group: Ia-3d
Total magnetic moment: 0.00 μB/cell
E_form: -0.31 eV per atom

Record 3
This record from Alexandria describes a geometry-optimized Ba3GaAu3 structure. The functional is PBE-GGA.

extended XYZ file:
```
14
Lattice="4.553 0.000 0.686 2.231 6.194 0.643 -0.076 0.217 15.963" Properties=species:S:1:pos:R:3 pbc="T T T"
Ba 3.098 2.288 10.348
Ba 3.610 4.124 6.944
Ba 1.714 1.487 4.076
Ba 4.994 4.925 13.215
Ba 2.371 1.964 15.170
Ba 4.337 4.448 2.122
Ga 3.587 0.541 7.096
Ga 3.121 5.870 10.195
Au 5.510 4.918 9.788
Au 1.198 1.494 7.504
Au 2.344 5.504 15.353
Au 4.364 0.908 1.939
Au 6.238 5.088 4.955
Au 0.470 1.323 12.337
```

Properties
Crystal system: monoclinic
Space group: C2/m
Total magnetic moment: 0.00 μB/cell
Energy above the lowest structure with this stoichiometry: 0.000 eV per atom
E_form: -0.65 eV per atom

Record 4
This record from Alexandria describes a geometry-optimized Ba2Ga6Au3 structure. The functional is PBE-GGA.

extended XYZ file:
```
11
Lattice="4.507 0.000 0.000 0.000 7.088 -4.092 0.000 0.000 8.184" Properties=species:S:1:pos:R:3 pbc="T T T"
Ba 0.000 4.725 0.000
Ba 0.000 2.363 4.092
Ga 2.253 4.884 2.820
Ga 2.253 0.000 2.544
Ga 0.000 1.310 0.756
Ga 0.000 5.778 -3.336
Ga 2.253 2.203 -1.272
Ga 0.000 0.000 6.672
Au 2.253 2.502 1.445
Au 2.253 4.586 -2.648
Au 2.253 0.000 5.295
```

Properties
Crystal system: hexagonal
Space group: P-62m
Total magnetic moment: 0.00 μB/cell
E_form: -0.47 eV per atom

Record 5
This record from Alexandria describes a geometry-optimized Ba2GaAu2 structure. The functional is PBE-GGA.

extended XYZ file:
```
5
Lattice="-2.541 -1.314 5.809 5.878 -1.575 2.215 2.259 2.323 5.123" Properties=species:S:1:pos:R:3 pbc="T T T"
Au 1.869 -0.164 4.390
Au 3.727 -0.403 8.757
Ba 0.693 -0.218 7.472
Ba 4.903 -0.348 5.674
Ga 0.000 0.000 0.000
```

Properties
Crystal system: tetragonal
Space group: I4/mmm
Total magnetic moment: 0.86 μB/cell
Energy above the lowest structure with this stoichiometry: 0.161 eV per atom
E_form: -0.47 eV per atom

Record 6
This record from Alexandria describes a geometry-optimized Ba2Ga5Au structure. The functional is PBE-GGA.

extended XYZ file:
```
16
Lattice="-3.181 3.132 0.154 -3.758 -7.289 5.838 4.176 3.872 7.521" Properties=species:S:1:pos:R:3 pbc="T T T"
Ba -1.542 1.169 9.130
Ba -1.220 -1.455 4.384
Ba 0.000 0.000 0.000
Ba 2.088 1.936 3.761
Ga 1.874 1.476 8.675
Ga -4.635 -1.761 4.839
Ga 0.744 0.429 6.641
Ga -3.506 -0.715 6.873
Ga 0.265 -0.309 11.753
Ga -3.027 0.023 1.761
Ga -1.758 -2.185 8.109
Ga -1.004 1.899 5.405
Ga 0.728 3.598 6.619
Ga -3.489 -3.884 6.895
Au -1.490 -2.043 10.754
Au -1.272 1.757 2.760
```

Properties
Crystal system: orthorhombic
Space group: Cmcm
Total magnetic moment: 0.00 μB/cell
E_form: -0.48 eV per atom